GGA-PBE CsMg2TlCl8, optimized geometry; theoretical density = 3.05 g cm⁻³; ΔE_f (raw) = -1426.3 meV/atom; magnetization = 0.000 μB per atom
1.0
6.432 0.805 0.859
0.916 6.474 0.928
1.199 1.253 9.211
Cs Mg Tl Cl
1 2 1 8
Cartesian
0.599 0.627 4.606 Cs
4.192 4.191 7.393 Mg
4.355 4.341 3.604 Mg
0.000 0.000 0.000 Tl
2.141 4.987 2.860 Cl
5.503 5.532 1.677 Cl
5.032 2.167 2.751 Cl
6.406 3.546 8.138 Cl
3.044 3.001 9.320 Cl
3.515 6.366 8.246 Cl
5.310 5.507 5.463 Cl
3.237 3.025 5.535 Cl